Arrangement 1

Entry from Alexandria via LeMat-Bulk: Ti2SiH after structural relaxation (GGA-PBEsol).

Cell: 5.8908 5.8908 5.8908 Å, 90.00 90.00 90.00°
Element x y z (fractional)
Ti1 0.2500 0.2500 0.2500
Ti2 0.2500 0.2500 0.7500
Ti3 0.2500 0.7500 0.2500
Ti4 0.2500 0.7500 0.7500
Ti5 0.7500 0.2500 0.2500
Ti6 0.7500 0.2500 0.7500
Ti7 0.7500 0.7500 0.2500
Ti8 0.7500 0.7500 0.7500
Si1 0.0000 0.0000 0.0000
Si2 0.0000 0.5000 0.5000
Si3 0.5000 0.0000 0.5000
Si4 0.5000 0.5000 0.0000
H1 0.0000 0.0000 0.5000
H2 0.0000 0.5000 0.0000
H3 0.5000 0.0000 0.0000
H4 0.5000 0.5000 0.5000

The density of states at the Fermi level is 0.60 states/eV per atom. The calculation puts the total magnetic moment at 0.001 μB/cell. The value obtained for the calculated volume is 51.1 Å³/f.u.

***

Arrangement 2

Entry from Alexandria via LeMat-Bulk: Ti2SiH after structural relaxation (GGA-PBEsol).

Cell: 5.8664 5.8664 5.6531 Å, 90.00 90.00 90.00°
Element x y z (fractional)
Ti1 0.1692 0.7500 0.1250
Ti2 0.2500 0.1692 0.8750
Ti3 0.2500 0.3308 0.3750
Ti4 0.3308 0.7500 0.6250
Ti5 0.6692 0.2500 0.6250
Ti6 0.7500 0.6692 0.3750
Ti7 0.7500 0.8308 0.8750
Ti8 0.8308 0.2500 0.1250
Si1 0.0000 0.0000 0.5000
Si2 0.0000 0.5000 0.7500
Si3 0.5000 0.0000 0.2500
Si4 0.5000 0.5000 0.0000
H1 0.0000 0.0000 0.0000
H2 0.0000 0.5000 0.2500
H3 0.5000 0.0000 0.7500
H4 0.5000 0.5000 0.5000

The density of states at the Fermi level is 0.37 states/eV per atom. The calculation puts the total magnetic moment at 0.000 μB/cell. The value obtained for the calculated volume is 48.6 Å³/f.u.

***

Energetically preferred structure: arrangement 2 | next structure: +0.340 eV/atom

***

Arrangement 1

Entry from Alexandria via LeMat-Bulk: TaTi3H after structural relaxation (GGA-PBEsol).

Cell: 4.0937 4.0937 4.0937 Å, 90.00 90.00 90.00°
Element x y z (fractional)
Ta1 0.0000 0.0000 0.0000
Ti1 0.0000 0.5000 0.5000
Ti2 0.5000 0.0000 0.5000
Ti3 0.5000 0.5000 0.0000
H1 0.5000 0.5000 0.5000

The density of states at the Fermi level is 1.38 states/eV per atom. The calculation puts the total magnetic moment at 0.002 μB/cell. The value obtained for the calculated volume is 68.6 Å³/f.u.

***

Arrangement 2

Entry from Alexandria via LeMat-Bulk: TaTi3H after structural relaxation (GGA-PBEsol).

Cell: 4.7789 4.7789 4.7789 Å, 90.00 90.00 90.00°
Element x y z (fractional)
Ta1 0.0000 0.0000 0.0000
Ti1 0.0000 0.0000 0.5000
Ti2 0.0000 0.5000 0.0000
Ti3 0.5000 0.0000 0.0000
H1 0.5000 0.5000 0.5000

The density of states at the Fermi level is 1.62 states/eV per atom. The calculation puts the total magnetic moment at 0.901 μB/cell. The value obtained for the calculated volume is 109.1 Å³/f.u.

***

Energetically preferred structure: arrangement 1 | next structure: +1.792 eV/atom

***

Arrangement 1

Entry from Alexandria via LeMat-Bulk: Zn2TeH after structural relaxation (GGA-PBEsol).

Cell: 4.6596 4.6596 12.6636 Å, 90.00 90.00 90.00°
Element x y z (fractional)
Zn1 0.1114 0.2500 0.1250
Zn2 0.2500 0.6113 0.3750
Zn3 0.2500 0.8886 0.8750
Zn4 0.3886 0.2500 0.6250
Zn5 0.6113 0.7500 0.6250
Zn6 0.7500 0.1114 0.8750
Zn7 0.7500 0.3886 0.3750
Zn8 0.8886 0.7500 0.1250
Te1 0.0000 0.0000 0.5000
Te2 0.0000 0.5000 0.7500
Te3 0.5000 0.0000 0.2500
Te4 0.5000 0.5000 0.0000
H1 0.0000 0.0000 0.0000
H2 0.0000 0.5000 0.2500
H3 0.5000 0.0000 0.7500
H4 0.5000 0.5000 0.5000

The density of states at the Fermi level is 0.30 states/eV per atom. The calculation puts the total magnetic moment at 0.000 μB/cell. The value obtained for the calculated volume is 68.7 Å³/f.u.

***

Arrangement 2

Entry from Alexandria via LeMat-Bulk: Zn2TeH after structural relaxation (GGA-PBEsol).

Cell: 6.4347 6.4347 6.4347 Å, 90.00 90.00 90.00°
Element x y z (fractional)
Zn1 0.2500 0.2500 0.2500
Zn2 0.2500 0.2500 0.7500
Zn3 0.2500 0.7500 0.2500
Zn4 0.2500 0.7500 0.7500
Zn5 0.7500 0.2500 0.2500
Zn6 0.7500 0.2500 0.7500
Zn7 0.7500 0.7500 0.2500
Zn8 0.7500 0.7500 0.7500
Te1 0.0000 0.0000 0.0000
Te2 0.0000 0.5000 0.5000
Te3 0.5000 0.0000 0.5000
Te4 0.5000 0.5000 0.0000
H1 0.0000 0.0000 0.5000
H2 0.0000 0.5000 0.0000
H3 0.5000 0.0000 0.0000
H4 0.5000 0.5000 0.5000

The density of states at the Fermi level is 0.38 states/eV per atom. The calculation puts the total magnetic moment at 0.001 μB/cell. The value obtained for the calculated volume is 66.6 Å³/f.u.

***

Energetically preferred structure: arrangement 1 | next structure: +0.359 eV/atom

***

Arrangement 1

Entry from Alexandria via LeMat-Bulk: ZrTi3H after structural relaxation (GGA-PBEsol).

Cell: 4.1745 4.1745 4.1745 Å, 90.00 90.00 90.00°
Element x y z (fractional)
Zr1 0.0000 0.0000 0.0000
Ti1 0.0000 0.5000 0.5000
Ti2 0.5000 0.0000 0.5000
Ti3 0.5000 0.5000 0.0000
H1 0.5000 0.5000 0.5000

The density of states at the Fermi level is 1.55 states/eV per atom. The calculation puts the total magnetic moment at 0.000 μB/cell. The value obtained for the calculated volume is 72.7 Å³/f.u.

***

Arrangement 2

Entry from Alexandria via LeMat-Bulk: ZrTi3H after structural relaxation (GGA-PBEsol).

Cell: 4.7662 4.7662 4.7662 Å, 90.00 90.00 90.00°
Element x y z (fractional)
Zr1 0.0000 0.0000 0.0000
Ti1 0.0000 0.0000 0.5000
Ti2 0.0000 0.5000 0.0000
Ti3 0.5000 0.0000 0.0000
H1 0.5000 0.5000 0.5000

The density of states at the Fermi level is 1.68 states/eV per atom. The calculation puts the total magnetic moment at 1.576 μB/cell. The value obtained for the calculated volume is 108.3 Å³/f.u.

***

Energetically preferred structure: arrangement 1 | next structure: +1.912 eV/atom

***

Arrangement 1

Entry from Alexandria via LeMat-Bulk: Hf after structural relaxation (GGA-PBEsol).

Cell: 4.9029 4.9029 3.0586 Å, 90.00 90.00 120.00°
Element x y z (fractional)
Hf1 0.0000 0.0000 0.0000
Hf2 0.3333 0.6667 0.5000
Hf3 0.6667 0.3333 0.5000

The density of states at the Fermi level is 0.74 states/eV per atom. The calculation puts the total magnetic moment at 0.000 μB/cell. The value obtained for the calculated volume is 21.2 Å³/f.u.

***

Arrangement 2

Entry from Alexandria via LeMat-Bulk: Hf after structural relaxation (GGA-PBEsol).

Cell: 4.4085 4.4085 4.4085 Å, 90.00 90.00 90.00°
Element x y z (fractional)
Hf1 0.0000 0.0000 0.0000
Hf2 0.0000 0.5000 0.5000
Hf3 0.5000 0.0000 0.5000
Hf4 0.5000 0.5000 0.0000

The density of states at the Fermi level is 1.45 states/eV per atom. The calculation puts the total magnetic moment at 0.000 μB/cell. The value obtained for the calculated volume is 21.4 Å³/f.u.

***

Energetically preferred structure: arrangement 1 | next structure: +0.035 eV/atom